Entry from the Alexandria database: CdAsBr2 after structural relaxation (PBE).

a = 9.6246 Å, b = 9.6246 Å, c = 9.6246 Å
α = 22.10°, β = 22.10°, γ = 22.10°
Last column: nearest neighbours and their distance in Å.
Atoms (fractional coordinates):
Cd 0.0000 0.0000 0.0000  6 Br 2.94
As 0.5000 0.5000 0.5000  2 Br 2.66
Br 0.4054 0.4054 0.4054  1 As 2.66, 3 Cd 2.94
Br 0.5946 0.5946 0.5946  1 As 2.66, 3 Cd 2.94

space group	No. 166
formation energy (no corrections)	0.00	eV per formula unit

---

Entry from the Alexandria database: ZrTc after structural relaxation (PBE).

a = 5.4539 Å, b = 5.4539 Å, c = 6.8560 Å
α = 109.91°, β = 109.91°, γ = 34.77°
Last column: nearest neighbours and their distance in Å.
Atoms (fractional coordinates):
Zr 0.0000 0.0000 0.0000  4 Tc 2.89, 4 Zr 3.03
Zr 0.3333 0.3333 0.1972  4 Tc 2.72-2.84, 2 Zr 3.03
Zr 0.6667 0.6667 0.8028  4 Tc 2.72-2.84, 2 Zr 3.03
Tc 0.0000 0.0000 0.5000  4 Zr 2.72, 4 Tc 2.83
Tc 0.3344 0.3344 0.6526  4 Tc 2.74-2.83, 4 Zr 2.84-2.89
Tc 0.6656 0.6656 0.3474  4 Tc 2.74-2.83, 4 Zr 2.84-2.89

ΔE_f	-0.10	eV/atom
space group	No. 12

---

Entry from the Alexandria database: BaInCoCl2 after structural relaxation (PBE).

a = 5.6266 Å, b = 5.6266 Å, c = 5.0140 Å
α = 90.00°, β = 90.00°, γ = 90.00°
Last column: nearest neighbours and their distance in Å.
Atoms (fractional coordinates):
Ba 0.0000 0.0000 0.0000  8 Cl 3.77, 4 Co 3.98
In 0.5000 0.5000 0.5000  2 Co 2.51
Co 0.5000 0.5000 0.0000  2 In 2.51
Cl 0.0000 0.5000 0.5000  2 In 2.81
Cl 0.5000 0.0000 0.5000  2 In 2.81

space group	No. 123
formation energy (no corrections)	-2.24	eV per formula unit

---

Entry from the Alexandria database: LiPmCd2 after structural relaxation (PBE).

a = 5.3389 Å, b = 5.3389 Å, c = 3.5551 Å
α = 90.00°, β = 90.00°, γ = 90.00°
Last column: nearest neighbours and their distance in Å.
Atoms (fractional coordinates):
Li 0.0000 0.0000 0.0000  8 Cd 3.21, 2 Li 3.56
Pm 0.5000 0.5000 0.0000  8 Cd 3.21, 2 Pm 3.56
Cd 0.0000 0.5000 0.5000  4 Li 3.21, 4 Pm 3.21, 2 Cd 3.56
Cd 0.5000 0.0000 0.5000  4 Li 3.21, 4 Pm 3.21, 2 Cd 3.56

ΔE_f	-0.21	eV/atom
space group	No. 123

---

no.,size of the total moment (μB/f.u.),E (eV for the cell shown)
1,0.00,-8.92
2,0.00,-57.35
3,1.40,-17.70
4,0.00,-9.34